Entry 1:
{"formula": "HgH4Br2N", "functional": "GGA-PBE", "state": "relaxed", "energy_ev_per_atom": -3.098, "n_ef_per_ev_cell": 4.650, "mass_density_g_cm3": 3.95, "vol_a3_per_cell": 318.4, "cell": [[-5.322, -4.453, 3.823], [7.540, 2.141, 1.154], [-4.354, 8.085, -1.006]], "species": ["N", "N", "H", "H", "H", "H", "H", "H", "H", "H", "Br", "Br", "Br", "Br", "Hg", "Hg"], "frac_coords": [[0.500, 0.500, 0.500], [0.000, 0.000, 0.000], [0.441, 0.580, 0.502], [0.559, 0.420, 0.498], [0.920, 0.059, 0.998], [0.305, 0.309, 0.500], [0.080, 0.941, 0.002], [0.191, 0.195, 0.000], [0.809, 0.805, 0.000], [0.695, 0.691, 0.500], [0.500, 0.500, 0.000], [0.500, 0.000, 0.500], [0.500, 0.000, 0.000], [0.000, 0.000, 0.500], [0.000, 0.500, 0.500], [0.000, 0.500, 0.000]]}

---

Entry 2:
{"formula": "Nd11Ag4Hg9", "functional": "GGA-PBE", "state": "relaxed", "delta_e_f_ev_per_atom": -0.387, "energy_ev_per_atom": -3.161, "n_ef_per_ev_cell": 22.338, "mass_density_g_cm3": 9.75, "vol_a3_per_cell": 650.9, "cell": [[3.836, 0.000, 0.000], [0.000, 12.491, -5.273], [0.000, 0.059, 13.558]], "species": ["Nd", "Nd", "Nd", "Nd", "Nd", "Nd", "Nd", "Nd", "Nd", "Nd", "Nd", "Ag", "Ag", "Ag", "Ag", "Hg", "Hg", "Hg", "Hg", "Hg", "Hg", "Hg", "Hg", "Hg"], "frac_coords": [[0.000, 0.364, 0.636], [0.000, 0.831, 0.169], [0.000, 0.279, 0.279], [0.000, 0.063, 0.410], [0.000, 0.937, 0.590], [0.000, 0.590, 0.937], [0.000, 0.410, 0.063], [0.000, 0.000, 0.000], [0.000, 0.636, 0.364], [0.000, 0.169, 0.831], [0.000, 0.721, 0.721], [0.500, 0.447, 0.253], [0.500, 0.747, 0.553], [0.500, 0.253, 0.447], [0.500, 0.553, 0.747], [0.500, 0.843, 0.373], [0.500, 0.373, 0.843], [0.500, 0.500, 0.500], [0.500, 0.157, 0.627], [0.500, 0.940, 0.788], [0.500, 0.788, 0.940], [0.500, 0.060, 0.212], [0.500, 0.627, 0.157], [0.500, 0.212, 0.060]]}